[1]
Crystalline KFe3Ni at its relaxed geometry, computed with PBE. Values from VASP.

* energy relative to the lowest polymorph listed for this composition: 1558 meV/atom
* ΔE_f: 2.5885 eV per atom
* space group: Pm-3m, No. 221

Structure (Quantum ESPRESSO input):
```
&SYSTEM
  ibrav = 0, nat = 5, ntyp = 3
/
ATOMIC_SPECIES
Ni 58.69 Ni.upf
K 39.10 K.upf
Fe 55.84 Fe.upf
ATOMIC_POSITIONS crystal
Ni 0.500 0.500 0.500
K 0.000 0.000 0.000
Fe 0.000 0.500 0.000
Fe 0.000 0.000 0.500
Fe 0.500 0.000 0.000
CELL_PARAMETERS angstrom
-3.369 -1.450 2.376
2.726 -2.475 2.354
0.564 3.297 2.812
```

---

[2]
Crystalline CaDy2Si6 at its relaxed geometry, computed with PBE. Values from VASP.

* formation energy from raw total energies: -0.441 eV per atom
* space group: P6/mmm, No. 191

Structure (Quantum ESPRESSO input):
```
&SYSTEM
  ibrav = 0, nat = 9, ntyp = 3
/
ATOMIC_SPECIES
Ca 40.08 Ca.upf
Dy 162.50 Dy.upf
Si 28.09 Si.upf
ATOMIC_POSITIONS crystal
Ca 0.000 0.000 0.000
Dy 0.000 0.333 0.667
Dy 0.000 0.667 0.333
Si 0.500 0.335 0.335
Si 0.500 0.665 0.665
Si 0.500 0.000 0.665
Si 0.500 0.665 0.000
Si 0.500 0.335 0.000
Si 0.500 0.000 0.335
CELL_PARAMETERS angstrom
4.016 0.000 0.000
0.000 6.139 -3.544
0.000 0.000 7.089
```

---

no.,DOS(E_F) (states/eV/cell)
1,8.79
2,6.34